[1]
A plane-wave DFT calculation with PBE was carried out for a relaxed structure of MnIn2Re.

```
data_MnIn2Re
_cell_length_a 4.2309
_cell_length_b 3.1089
_cell_length_c 10.7845
_cell_angle_alpha 90.00
_cell_angle_beta 90.00
_cell_angle_gamma 90.00
_space_group_name_H-M_alt 'A m m 2'
_space_group_IT_number 38
loop_
_space_group_symop_operation_xyz
'x,y,z'
'-x,-y,z'
'-x,y,z'
'x,-y,z'
'x,y+1/2,z+1/2'
'-x,-y+1/2,z+1/2'
'-x,y+1/2,z+1/2'
'x,-y+1/2,z+1/2'
loop_
_atom_site_label
_atom_site_type_symbol
_atom_site_fract_x
_atom_site_fract_y
_atom_site_fract_z
Mn1 Mn 0.0000 0.0000 0.0000
In1 In 0.0000 0.0000 0.7243
In2 In 0.5000 0.0000 0.3827
Re1 Re 0.5000 0.0000 0.1058
```

- total moment (μB/f.u.) = 0.377
- DOS at the Fermi energy (states/eV/f.u.) = 2.9
- total DFT energy (no corrections) (eV per atom) = -6.27
- offset from the most stable computed form (eV/atom) = 0.242
- formation energy (eV/atom) = 0.508

[2]
A plane-wave DFT calculation with PBE was carried out for a relaxed structure of Nb3AlSb.

```
data_Nb3AlSb
_cell_length_a 4.7425
_cell_length_b 4.7425
_cell_length_c 4.7425
_cell_angle_alpha 90.00
_cell_angle_beta 90.00
_cell_angle_gamma 90.00
_space_group_name_H-M_alt 'P m -3 m'
_space_group_IT_number 221
_space_group_name_Hall '-P 4 2 3'
loop_
_atom_site_label
_atom_site_type_symbol
_atom_site_fract_x
_atom_site_fract_y
_atom_site_fract_z
Nb1 Nb 0.0000 0.0000 0.5000
Al1 Al 0.0000 0.0000 0.0000
Sb1 Sb 0.5000 0.5000 0.5000
```

- total moment (μB/f.u.) = 0.000
- DOS at the Fermi energy (states/eV/f.u.) = 10.5
- total DFT energy (no corrections) (eV per atom) = -6.68
- E_form (uncorrected) (meV per atom) = 937.3
- offset from the most stable computed form (eV/atom) = 0.000